(1)
The following is a DFT calculation (GGA-PBE) of crystalline KTcIr at its relaxed geometry.

Cell lengths 7.666, 7.666, 7.666 Å; angles 157.93, 157.93, 31.41 degrees
Fractional positions:
Ir  0.029  0.029  0.000
Tc  0.628  0.628  0.000
K  0.343  0.343  0.000

V, Å³/cell: 63.5
Energy above the lowest structure with this stoichiometry, meV per atom: 138
DOS(E_F), states/eV per atom: 0.6988
Space-group type: I4mm, No. 107
Energy of formation, eV/atom: 0.69
Total magnetic moment, μB/atom: 0.000

(2)
The following is a DFT calculation (GGA-PBE) of crystalline Tb3Pr5H12 at its relaxed geometry.

Cell lengths 11.716, 11.716, 11.716 Å; angles 109.47, 109.47, 109.47 degrees
Fractional positions:
Tb  0.125  0.250  0.875
Tb  0.250  0.125  0.375
Tb  0.875  0.750  0.125
Tb  0.750  0.875  0.625
Tb  0.750  0.375  0.125
Tb  0.250  0.625  0.875
Tb  0.875  0.125  0.250
Tb  0.625  0.375  0.750
Tb  0.375  0.625  0.250
Tb  0.375  0.750  0.625
Tb  0.125  0.875  0.750
Tb  0.625  0.250  0.375
H  0.927  0.340  0.270
H  0.414  0.340  0.570
H  0.086  0.157  0.427
H  0.070  0.914  0.340
H  0.573  0.343  0.914
H  0.160  0.730  0.573
H  0.157  0.086  0.927
H  0.160  0.430  0.086
H  0.430  0.160  0.586
H  0.570  0.840  0.414
H  0.770  0.427  0.340
H  0.840  0.570  0.914
H  0.157  0.070  0.730
H  0.430  0.270  0.343
H  0.770  0.343  0.930
H  0.660  0.586  0.930
H  0.914  0.070  0.840
H  0.086  0.930  0.160
H  0.730  0.570  0.157
H  0.914  0.843  0.573
H  0.343  0.770  0.430
H  0.414  0.073  0.343
H  0.270  0.430  0.843
H  0.930  0.843  0.770
H  0.270  0.840  0.927
H  0.230  0.573  0.660
H  0.657  0.427  0.586
H  0.340  0.414  0.070
H  0.427  0.657  0.086
H  0.586  0.927  0.657
H  0.657  0.230  0.570
H  0.427  0.770  0.840
H  0.230  0.657  0.070
H  0.343  0.573  0.414
H  0.573  0.230  0.160
H  0.930  0.086  0.660
H  0.073  0.660  0.730
H  0.073  0.414  0.843
H  0.340  0.927  0.770
H  0.843  0.930  0.270
H  0.730  0.160  0.073
H  0.660  0.073  0.230
H  0.843  0.914  0.073
H  0.070  0.157  0.230
H  0.586  0.660  0.430
H  0.927  0.586  0.157
H  0.840  0.270  0.427
H  0.570  0.730  0.657
Pr  0.375  0.250  0.125
Pr  0.625  0.750  0.875
Pr  0.750  0.125  0.875
Pr  0.500  0.500  0.000
Pr  0.000  0.000  0.500
Pr  0.000  0.500  0.000
Pr  0.125  0.375  0.250
Pr  0.000  0.500  0.500
Pr  0.125  0.750  0.375
Pr  0.375  0.125  0.750
Pr  0.000  0.000  0.000
Pr  0.500  0.000  0.000
Pr  0.750  0.625  0.375
Pr  0.500  0.500  0.500
Pr  0.875  0.250  0.625
Pr  0.875  0.625  0.750
Pr  0.250  0.875  0.125
Pr  0.250  0.375  0.625
Pr  0.500  0.000  0.500
Pr  0.625  0.875  0.250

V, Å³/cell: 1237.8
DOS(E_F), states/eV per atom: 0.6458
Space-group type: Ia-3d, No. 230
Total magnetic moment, μB/atom: 0.000

(3)
The following is a DFT calculation (GGA-PBE) of crystalline Tb14ThTl at its relaxed geometry.

Cell lengths 7.068, 7.068, 10.040 Å; angles 90.00, 90.00, 90.01 degrees
Fractional positions:
Tb  0.122  0.372  0.753
Tb  0.375  0.126  0.000
Tb  0.122  0.878  0.753
Tb  0.875  0.625  0.500
Tb  0.122  0.878  0.247
Tb  0.628  0.372  0.752
Tb  0.375  0.625  0.500
Tb  0.628  0.878  0.247
Tb  0.875  0.125  0.500
Tb  0.874  0.625  0.000
Tb  0.122  0.372  0.247
Tb  0.628  0.372  0.248
Tb  0.375  0.125  0.500
Tb  0.628  0.878  0.753
Tl  0.375  0.625  0.000
Th  0.875  0.125  0.000

V, Å³/cell: 501.5
DOS(E_F), states/eV per atom: 1.2175
Space-group type: Amm2, No. 38
Energy of formation, eV/atom: -0.01
Total magnetic moment, μB/atom: 0.000

| no. | calculated total energy (eV per atom) |
| --- | --- |
| 1 | -6.083 |
| 2 | -4.322 |
| 3 | -4.668 |